Record 1
This record from Alexandria describes a relaxed TbEu2SbO6 crystal. The functional is PBE.

Formation energy from raw total energies in meV per atom: -2565
Total energy in eV/f.u.: -84.7
Space-group type: Fm-3m, No. 225

Cell and atoms, written as POSCAR:
```
TbEu2SbO6
1.0
5.944 0.000 0.000
2.972 5.147 0.000
2.972 1.716 4.853
Eu Sb Tb O
2 1 1 6
direct
0.250 0.250 0.250
0.750 0.750 0.750
0.500 0.500 0.500
0.000 0.000 0.000
0.263 0.737 0.737
0.737 0.263 0.737
0.263 0.737 0.263
0.737 0.737 0.263
0.737 0.263 0.263
0.263 0.263 0.737
```

=====

Record 2
This record from Alexandria describes a relaxed Eu2TiSbO6 crystal. The functional is PBE.

Formation energy from raw total energies in meV per atom: -2444
Total energy in eV/f.u.: -86.8
Space-group type: Fm-3m, No. 225

Cell and atoms, written as POSCAR:
```
Eu2TiSbO6
1.0
0.000 4.077 4.077
4.077 0.000 4.077
4.077 4.077 0.000
Eu Ti Sb O
2 1 1 6
direct
0.250 0.250 0.250
0.750 0.750 0.750
0.500 0.500 0.500
0.000 0.000 0.000
0.258 0.742 0.258
0.742 0.258 0.742
0.742 0.742 0.258
0.258 0.258 0.742
0.258 0.742 0.742
0.742 0.258 0.258
```

=====

Record 3
This record from Alexandria describes a relaxed Eu2YSbO6 crystal. The functional is PBE.

Formation energy from raw total energies in meV per atom: -2564
Total energy in eV/f.u.: -86.5
Space-group type: Fm-3m, No. 225

Cell and atoms, written as POSCAR:
```
Eu2YSbO6
1.0
-2.288 -5.123 1.924
3.171 -4.997 -0.393
2.142 -2.547 4.910
Eu Sb Y O
2 1 1 6
direct
0.250 0.250 0.250
0.750 0.750 0.750
0.500 0.500 0.500
0.000 0.000 0.000
0.263 0.737 0.737
0.737 0.263 0.737
0.263 0.737 0.263
0.737 0.737 0.263
0.737 0.263 0.263
0.263 0.263 0.737
```

=====

Record 4
This record from Alexandria describes a relaxed EuScO crystal. The functional is PBE.

Formation energy from raw total energies in meV per atom: -1713
Total energy in eV/f.u.: -26.7
Space-group type: P3m1, No. 156

Cell and atoms, written as POSCAR:
```
EuScO
1.0
5.939 0.000 0.000
0.000 3.405 0.000
0.000 -1.703 2.949
Eu Sc O
1 1 1
direct
0.590 0.667 0.333
0.123 0.000 0.000
0.287 0.333 0.667
```

=====

Record 5
This record from Alexandria describes a relaxed EuScO3 crystal. The functional is PBE.

Formation energy from raw total energies in meV per atom: -3108
Total energy in eV/f.u.: -47.0
Space-group type: Pnma, No. 62

Cell and atoms, written as POSCAR:
```
EuScO3
1.0
5.604 0.000 0.000
0.000 5.817 0.000
0.000 0.000 8.017
Eu Sc O
4 4 12
direct
0.988 0.055 0.750
0.488 0.445 0.250
0.512 0.555 0.750
0.012 0.945 0.250
0.000 0.500 0.500
0.500 0.000 0.500
0.500 0.000 0.000
0.000 0.500 0.000
0.694 0.304 0.558
0.194 0.196 0.442
0.806 0.804 0.942
0.306 0.696 0.058
0.306 0.696 0.442
0.806 0.804 0.558
0.194 0.196 0.058
0.694 0.304 0.942
0.889 0.545 0.250
0.389 0.955 0.750
0.611 0.045 0.250
0.111 0.455 0.750
```

=====

Record 6
This record from Alexandria describes a relaxed EuSc2O crystal. The functional is PBE.

Formation energy from raw total energies in meV per atom: -1253
Total energy in eV/f.u.: -32.9
Space-group type: R-3m, No. 166

Cell and atoms, written as POSCAR:
```
EuSc2O
1.0
3.286 0.000 0.000
1.643 2.845 0.000
1.643 0.948 8.859
Eu Sc O
1 2 1
direct
0.000 0.000 0.000
0.122 0.122 0.635
0.878 0.878 0.365
0.500 0.500 0.500
```

=====

Record 7
This record from Alexandria describes a relaxed EuSeO4 crystal. The functional is PBE.

Formation energy from raw total energies in meV per atom: -1638
Total energy in eV/f.u.: -43.4
Space-group type: P2_1/c, No. 14

Cell and atoms, written as POSCAR:
```
EuSeO4
1.0
7.398 0.000 0.000
0.000 6.931 -0.039
0.000 5.194 6.931
Eu Se O
4 4 16
direct
0.847 0.814 0.781
0.347 0.186 0.719
0.653 0.814 0.281
0.153 0.186 0.219
0.838 0.309 0.804
0.338 0.691 0.696
0.662 0.309 0.304
0.162 0.691 0.196
0.897 0.342 0.976
0.660 0.115 0.889
0.290 0.404 0.882
0.500 0.821 0.746
0.790 0.596 0.618
0.000 0.179 0.754
0.160 0.885 0.611
0.397 0.658 0.524
0.603 0.342 0.476
0.840 0.115 0.389
0.000 0.821 0.246
0.210 0.404 0.382
0.500 0.179 0.254
0.710 0.596 0.118
0.340 0.885 0.111
0.103 0.658 0.024
```

=====

Record 8
This record from Alexandria describes a relaxed EuSeO2 crystal. The functional is PBE.

Formation energy from raw total energies in meV per atom: -1173
Total energy in eV/f.u.: -28.4
Space-group type: R-3m, No. 166

Cell and atoms, written as POSCAR:
```
EuSeO2
1.0
-2.953 -2.588 0.340
0.341 -3.598 -1.574
0.817 -3.506 3.253
Eu O Se
1 2 1
direct
0.000 0.000 0.000
0.233 0.233 0.301
0.767 0.767 0.699
0.500 0.500 0.500
```

=====

Record 9
This record from Alexandria describes a relaxed EuSeO4 crystal. The functional is PBE.

Formation energy from raw total energies in meV per atom: -1609
Total energy in eV/f.u.: -43.2
Space-group type: Cmcm, No. 63

Cell and atoms, written as POSCAR:
```
EuSeO4
1.0
5.328 0.018 0.000
-2.120 4.888 0.000
0.000 0.000 8.119
Eu Se O
2 2 8
direct
0.000 0.000 0.000
0.000 0.000 0.500
0.633 0.367 0.250
0.367 0.633 0.750
0.233 0.282 0.750
0.282 0.233 0.250
0.734 0.266 0.076
0.734 0.266 0.424
0.266 0.734 0.576
0.266 0.734 0.924
0.767 0.718 0.250
0.718 0.767 0.750
```

=====

Record 10
This record from Alexandria describes a relaxed EuSiO3 crystal. The functional is PBE.

Formation energy from raw total energies in meV per atom: -2653
Total energy in eV/f.u.: -43.8
Space-group type: Pm-3m, No. 221

Cell and atoms, written as POSCAR:
```
EuSiO3
1.0
3.720 0.000 0.000
0.000 3.720 0.000
0.000 0.000 3.720
Eu Si O
1 1 3
direct
0.500 0.500 0.500
0.000 0.000 0.000
0.000 0.500 0.000
0.000 0.000 0.500
0.500 0.000 0.000
```

=====

Record 11
This record from Alexandria describes a relaxed Eu5Si3O13 crystal. The functional is PBE.

Formation energy from raw total energies in meV per atom: -2932
Total energy in eV/f.u.: -193.7
Space-group type: P6_3/m, No. 176

Cell and atoms, written as POSCAR:
```
Eu5Si3O13
1.0
9.633 0.000 0.000
-4.817 8.343 0.000
0.000 0.000 7.082
Eu Si O
10 6 26
direct
0.763 0.761 0.750
0.237 0.239 0.250
0.998 0.237 0.750
0.002 0.763 0.250
0.239 0.002 0.750
0.761 0.998 0.250
0.333 0.667 0.001
0.667 0.333 0.999
0.667 0.333 0.501
0.333 0.667 0.499
0.600 0.972 0.750
0.400 0.028 0.250
0.372 0.400 0.750
0.628 0.600 0.250
0.028 0.628 0.750
0.972 0.372 0.250
0.402 0.873 0.750
0.598 0.127 0.250
0.471 0.598 0.750
0.529 0.402 0.250
0.127 0.529 0.750
0.873 0.471 0.250
0.657 0.910 0.936
0.343 0.090 0.064
0.253 0.343 0.936
0.343 0.090 0.436
0.747 0.657 0.064
0.657 0.910 0.564
0.090 0.747 0.936
0.747 0.657 0.436
0.910 0.253 0.064
0.253 0.343 0.564
0.910 0.253 0.436
0.090 0.747 0.564
0.834 0.511 0.750
0.166 0.489 0.250
0.677 0.166 0.750
0.323 0.834 0.250
0.489 0.323 0.750
0.511 0.677 0.250
0.000 0.000 0.750
0.000 0.000 0.250
```

=====

Record 12
This record from Alexandria describes a relaxed Eu2SiO4 crystal. The functional is PBE.

Formation energy from raw total energies in meV per atom: -2953
Total energy in eV/f.u.: -66.5
Space-group type: P2_1/c, No. 14

Cell and atoms, written as POSCAR:
```
Eu2SiO4
1.0
7.130 0.000 0.000
0.000 5.724 -0.010
0.000 5.102 9.749
Eu Si O
8 4 16
direct
0.659 0.808 0.425
0.341 0.192 0.575
0.502 0.477 0.801
0.159 0.192 0.075
0.998 0.477 0.301
0.002 0.523 0.699
0.498 0.523 0.199
0.841 0.808 0.925
0.780 0.159 0.582
0.280 0.841 0.918
0.720 0.159 0.082
0.220 0.841 0.418
0.241 0.157 0.815
0.176 0.650 0.862
0.824 0.350 0.138
0.759 0.843 0.185
0.682 0.241 0.430
0.182 0.759 0.070
0.741 0.843 0.685
0.318 0.759 0.570
0.005 0.217 0.566
0.495 0.217 0.066
0.676 0.350 0.638
0.324 0.650 0.362
0.505 0.783 0.934
0.995 0.783 0.434
0.818 0.241 0.930
0.259 0.157 0.315
```